Record 1
Entry from Alexandria via LeMat-Bulk: a relaxed MnZnW crystal (PBE).

Output
- Energy relative to the elements: 0.67 eV per atom
- Electronic total energy: -85.5 eV/cell
- ΔE to the lowest computed polymorph: 46.4 kJ per mole of atoms

a = 5.7546 Å, b = 5.7546 Å, c = 5.7546 Å
α = 90.00°, β = 90.00°, γ = 90.00°
Space group F-43m (No. 216)
Inequivalent atoms, fractional coordinates:
Mn 0.0000 0.0000 0.0000 x4
Zn 0.2500 0.2500 0.7500 x4
W 0.2500 0.2500 0.2500 x4

---

Record 2
Entry from Alexandria via LeMat-Bulk: a relaxed LaPr6Nd12 crystal (PBE).

Output
- Energy relative to the elements: 0.12 eV per atom
- Electronic total energy: -265.4 eV/cell
- ΔE to the lowest computed polymorph: 0.0 kJ per mole of atoms

a = 12.4092 Å, b = 12.4092 Å, c = 15.4745 Å
α = 90.00°, β = 90.00°, γ = 120.00°
Space group R-3 (No. 148, hexagonal axes)
Inequivalent atoms, fractional coordinates:
La 0.0000 0.0000 0.0000 x3
Pr 0.0119 0.4223 0.6842 x18
Nd 0.0042 0.8308 0.1910 x18
Nd 0.0477 0.8522 0.4168 x18

---

Record 3
Entry from Alexandria via LeMat-Bulk: a relaxed SrSn2Pt5 crystal (PBE).

Output
- Energy relative to the elements: -0.54 eV per atom
- Electronic total energy: -88.3 eV/cell

a = 4.0646 Å, b = 7.4136 Å, c = 10.7892 Å
α = 90.00°, β = 90.00°, γ = 90.00°
Space group Immm (No. 71)
Inequivalent atoms, fractional coordinates:
Sr 0.0000 0.0000 0.0000 x2
Sn 0.0000 0.5000 0.2489 x4
Pt 0.0000 0.1925 0.3673 x8
Pt 0.0000 0.5000 0.0000 x2

---

Record 4
Entry from Alexandria via LeMat-Bulk: a relaxed Pm5Te5H2 crystal (PBE).

Output
- Electronic total energy: -118.6 eV/cell

a = 14.1312 Å, b = 4.1272 Å, c = 11.0025 Å
α = 90.00°, β = 99.51°, γ = 90.00°
Space group C2/m (No. 12)
Inequivalent atoms, fractional coordinates:
Pm 0.0000 0.0000 0.0000 x2
Pm 0.1037 0.0000 0.3380 x4
Pm 0.1576 0.5000 0.7991 x4
Te 0.0000 0.5000 0.5000 x2
Te 0.1625 0.5000 0.0942 x4
Te 0.2203 0.0000 0.6128 x4
H 0.0535 0.0000 0.8072 x4

---

Record 5
Entry from Alexandria via LeMat-Bulk: a relaxed LaRhO3 crystal (PBE).

Output
- ΔE_f (raw): -44.24 kcal/mol of atoms
- Electronic total energy: -73.5 eV/cell

a = 5.7931 Å, b = 4.0632 Å, c = 6.7226 Å
α = 90.00°, β = 103.08°, γ = 90.00°
Space group P2_1/m (No. 11)
Inequivalent atoms, fractional coordinates:
La 0.0095 0.2500 0.2495 x2
Rh 0.4778 0.2500 0.8233 x2
O 0.1608 0.7500 0.1231 x2
O 0.1795 0.2500 0.6140 x2
O 0.4382 0.7500 0.8603 x2

---

Record 6
Entry from Alexandria via LeMat-Bulk: a relaxed Na3Ac2HoTe6 crystal (PBE).

Output
- ΔE_f (raw): -31.22 kcal/mol of atoms
- Electronic total energy: -103.7 eV/cell

a = 20.2439 Å, b = 4.6542 Å, c = 9.3159 Å
α = 90.00°, β = 102.99°, γ = 90.00°
Space group C2/m (No. 12)
Inequivalent atoms, fractional coordinates:
Na 0.0000 0.0000 0.0000 x2
Na 0.1672 0.5000 0.3324 x4
Ac 0.1640 0.5000 0.8270 x4
Ho 0.0000 0.0000 0.5000 x2
Te 0.0025 0.5000 0.2737 x4
Te 0.1583 0.0000 0.5726 x4
Te 0.1661 0.0000 0.0835 x4

---

Record 7
Entry from Alexandria via LeMat-Bulk: a relaxed LaSm2Er8 crystal (PBE).

Output
- Energy relative to the elements: 0.14 eV per atom
- Electronic total energy: -98.6 eV/cell
- ΔE to the lowest computed polymorph: 2.2 kJ per mole of atoms

a = 19.0638 Å, b = 6.9819 Å, c = 5.5053 Å
α = 90.00°, β = 92.85°, γ = 90.00°
Space group C2/m (No. 12)
Inequivalent atoms, fractional coordinates:
La 0.0000 0.0000 0.0000 x2
Sm 0.2152 0.5000 0.2482 x4
Er 0.0464 0.5000 0.2391 x4
Er 0.1329 0.2674 0.7318 x8
Er 0.1877 0.0000 0.2345 x4

---

Q: What is the electronic total energy in the third record?
A: -88.3 eV/cell

---

Q: Which of these has the lowest electronic total energy?
A: LaPr6Nd12

---

Q: What is the electronic total energy in the fourth record?
A: -118.6 eV/cell

---

Q: The lowest electronic total energy belongs to which entry?
A: LaPr6Nd12